1.
An optimized crystal structure of MgAs2Pt, computed with PBEsol.

Computed properties:
DOS(E_F) ... 1.6 states/eV/f.u.

Lattice parameters (Å, degrees): 3.8301 3.8301 17.8684 90.00 90.00 120.00
With the nearest neighbours (Å) after each atom.
Element x y z (fractional)
Mg: 0.0000 0.0000 0.0000  6 As 2.82
Mg: 0.3333 0.6667 0.6667  6 As 2.82
Mg: 0.6667 0.3333 0.3333  6 As 2.82
As: 0.0000 0.0000 0.2357  3 Pt 2.53, 3 Mg 2.82
As: 0.0000 0.0000 0.7643  3 Pt 2.53, 3 Mg 2.82
As: 0.3333 0.6667 0.4309  3 Pt 2.53, 3 Mg 2.82
As: 0.3333 0.6667 0.9024  3 Pt 2.53, 3 Mg 2.82
As: 0.6667 0.3333 0.0976  3 Pt 2.53, 3 Mg 2.82
As: 0.6667 0.3333 0.5691  3 Pt 2.53, 3 Mg 2.82
Pt: 0.0000 0.0000 0.5000  6 As 2.53
Pt: 0.3333 0.6667 0.1667  6 As 2.53
Pt: 0.6667 0.3333 0.8333  6 As 2.53

2.
An optimized crystal structure of SrMg2AsPt, computed with PBEsol.

Computed properties:
DOS(E_F) ... 1.3 states/eV/f.u.

Lattice parameters (Å, degrees): 4.9463 4.9463 5.0686 90.00 90.00 90.00
With the nearest neighbours (Å) after each atom.
Element x y z (fractional)
Sr: 0.0000 0.0000 0.0000  4 As 3.50, 8 Mg 3.54
Mg: 0.0000 0.5000 0.5000  2 Pt 2.47
Mg: 0.5000 0.0000 0.5000  2 Pt 2.47
As: 0.5000 0.5000 0.0000  2 Pt 2.53
Pt: 0.5000 0.5000 0.5000  4 Mg 2.47, 2 As 2.53

3.
An optimized crystal structure of Sr2MgAsPt, computed with PBEsol.

Computed properties:
DOS(E_F) ... 3.5 states/eV/f.u.

Lattice parameters (Å, degrees): 5.8844 5.8844 4.5496 90.00 90.00 90.00
With the nearest neighbours (Å) after each atom.
Element x y z (fractional)
Sr: 0.0000 0.5000 0.0000  2 Mg 2.94
Sr: 0.5000 0.0000 0.0000  2 Mg 2.94
Mg: 0.0000 0.0000 0.0000  2 Pt 2.27
As: 0.5000 0.5000 0.5000  8 Sr 3.72, 4 Pt 4.16
Pt: 0.0000 0.0000 0.5000  2 Mg 2.27

4.
An optimized crystal structure of RbMgAs2, computed with PBEsol.

Computed properties:
DOS(E_F) ... 1.1 states/eV/f.u.
Energy above the most stable polymorph in this dataset ... 0 meV per atom

Lattice parameters (Å, degrees): 5.4737 5.4737 17.2974 90.00 90.00 90.00
With the nearest neighbours (Å) after each atom.
Element x y z (fractional)
Rb: 0.0000 0.2500 0.3750  8 As 3.75, 4 Mg 3.87
Rb: 0.0000 0.7500 0.6250  8 As 3.75, 4 Mg 3.87
Rb: 0.5000 0.2500 0.1250  8 As 3.75, 4 Mg 3.87
Rb: 0.5000 0.7500 0.8750  8 As 3.75, 4 Mg 3.87
Mg: 0.0000 0.2500 0.8750  4 As 2.56
Mg: 0.0000 0.7500 0.1250  4 As 2.56
Mg: 0.5000 0.2500 0.6250  4 As 2.56
Mg: 0.5000 0.7500 0.3750  4 As 2.56
As: 0.0000 0.0000 0.0000  2 Mg 2.56, 2 As 2.74
As: 0.0000 0.5000 0.0000  2 Mg 2.56, 2 As 2.74
As: 0.2500 0.2500 0.7500  2 Mg 2.56, 2 As 2.74
As: 0.2500 0.7500 0.2500  2 Mg 2.56, 2 As 2.74
As: 0.5000 0.0000 0.5000  2 Mg 2.56, 2 As 2.74
As: 0.5000 0.5000 0.5000  2 Mg 2.56, 2 As 2.74
As: 0.7500 0.2500 0.7500  2 Mg 2.56, 2 As 2.74
As: 0.7500 0.7500 0.2500  2 Mg 2.56, 2 As 2.74

5.
An optimized crystal structure of RbMgAs2, computed with PBEsol.

Computed properties:
DOS(E_F) ... 2.1 states/eV/f.u.
Energy above the most stable polymorph in this dataset ... 306 meV per atom

Lattice parameters (Å, degrees): 7.2474 7.2474 7.2474 90.00 90.00 90.00
With the nearest neighbours (Å) after each atom.
Element x y z (fractional)
Rb: 0.0000 0.0000 0.0000  8 As 3.14
Rb: 0.0000 0.5000 0.5000  8 As 3.14
Rb: 0.5000 0.0000 0.5000  8 As 3.14
Rb: 0.5000 0.5000 0.0000  8 As 3.14
Mg: 0.0000 0.0000 0.5000  8 As 3.14
Mg: 0.0000 0.5000 0.0000  8 As 3.14
Mg: 0.5000 0.0000 0.0000  8 As 3.14
Mg: 0.5000 0.5000 0.5000  8 As 3.14
As: 0.2500 0.2500 0.2500  4 Rb 3.14, 4 Mg 3.14
As: 0.2500 0.2500 0.7500  4 Mg 3.14, 4 Rb 3.14
As: 0.2500 0.7500 0.2500  4 Mg 3.14, 4 Rb 3.14
As: 0.2500 0.7500 0.7500  4 Mg 3.14, 4 Rb 3.14
As: 0.7500 0.2500 0.2500  4 Mg 3.14, 4 Rb 3.14
As: 0.7500 0.2500 0.7500  4 Mg 3.14, 4 Rb 3.14
As: 0.7500 0.7500 0.2500  4 Mg 3.14, 4 Rb 3.14
As: 0.7500 0.7500 0.7500  4 Mg 3.14, 4 Rb 3.14

6.
An optimized crystal structure of Rb2MgAsRu, computed with PBEsol.

Computed properties:
DOS(E_F) ... 5.0 states/eV/f.u.

Lattice parameters (Å, degrees): 6.2868 6.2868 4.8535 90.00 90.00 90.00
With the nearest neighbours (Å) after each atom.
Element x y z (fractional)
Rb: 0.0000 0.5000 0.0000  2 Mg 3.14
Rb: 0.5000 0.0000 0.0000  2 Mg 3.14
Mg: 0.0000 0.0000 0.0000  2 Ru 2.43
As: 0.5000 0.5000 0.5000  8 Rb 3.97, 4 Ru 4.45
Ru: 0.0000 0.0000 0.5000  2 Mg 2.43

Across the entries above, E_form takes the values -132 -183 62 -87 32 608 kJ/mol of formula units, respectively.
Across the entries above, raw total energy takes the values -5.07 -3.85 -3.37 -3.46 -3.16 -2.55 eV per atom, respectively.